## i
NbInFePt: optimized geometry, PBE.

Calculated values
The symmetry is F-43m, No. 216.

Cell lengths 4.5575, 4.5575, 4.5575 Å; angles 60.00, 60.00, 60.00 degrees
Last column: nearest neighbours and their distance in Å.
Element x y z (fractional)
In 0.0000 0.0000 0.0000  4 Nb 2.79, 4 Fe 2.79
Nb 0.2500 0.2500 0.2500  4 In 2.79, 4 Pt 2.79
Pt 0.5000 0.5000 0.5000  4 Nb 2.79, 4 Fe 2.79
Fe 0.7500 0.7500 0.7500  4 Pt 2.79, 4 In 2.79

## ii
NbInFePt: optimized geometry, PBE.

Calculated values
The symmetry is F-43m, No. 216.

Cell lengths 4.5372, 4.5372, 4.5372 Å; angles 60.00, 60.00, 60.00 degrees
Last column: nearest neighbours and their distance in Å.
Element x y z (fractional)
In 0.0000 0.0000 0.0000  4 Fe 2.78, 4 Pt 2.78
Nb 0.5000 0.5000 0.5000  4 Pt 2.78, 4 Fe 2.78
Pt 0.2500 0.2500 0.2500  4 Nb 2.78, 4 In 2.78
Fe 0.7500 0.7500 0.7500  4 In 2.78, 4 Nb 2.78

ii is the most stable structure; the next one sits 20.0 kJ/mol of atoms above it.

## i
TmInFeNi: optimized geometry, PBE.

Calculated values
The symmetry is Pmma, No. 51.

Cell lengths 4.9397, 4.0154, 7.1722 Å; angles 90.00, 90.00, 90.00 degrees
Last column: nearest neighbours and their distance in Å.
Element x y z (fractional)
Tm 0.2500 0.5000 0.2782  3 Ni 2.76
Tm 0.7500 0.5000 0.7218  3 Ni 2.76
In 0.7500 0.0000 0.3589  2 Ni 2.70, 2 Fe 2.86
In 0.2500 0.0000 0.6411  2 Ni 2.70, 2 Fe 2.86
Ni 0.2500 0.5000 0.8938  4 Fe 2.48, 2 In 2.70, 3 Tm 2.76
Ni 0.7500 0.5000 0.1062  4 Fe 2.48, 2 In 2.70, 3 Tm 2.76
Fe 0.5000 0.0000 0.0000  2 Fe 2.47, 4 Ni 2.48
Fe 0.0000 0.0000 0.0000  2 Fe 2.47, 4 Ni 2.48

## ii
TmInFeNi: optimized geometry, PBE.

Calculated values
The symmetry is Pmma, No. 51.

Cell lengths 4.9878, 4.0343, 7.0969 Å; angles 90.00, 90.00, 90.00 degrees
Last column: nearest neighbours and their distance in Å.
Element x y z (fractional)
Fe 0.2500 0.5000 0.0869  4 Ni 2.45, 1 Tm 2.65
Fe 0.7500 0.5000 0.9131  4 Ni 2.45, 1 Tm 2.65
Ni 0.0000 0.0000 0.0000  4 Fe 2.45, 2 Ni 2.49
Ni 0.5000 0.0000 0.0000  4 Fe 2.45, 2 Ni 2.49
Tm 0.2500 0.5000 0.7142  3 Fe 2.65-2.87
Tm 0.7500 0.5000 0.2858  3 Fe 2.65-2.87
In 0.7500 0.0000 0.6479  2 Fe 2.76, 2 Ni 2.79
In 0.2500 0.0000 0.3521  2 Fe 2.76, 2 Ni 2.79

i is the most stable structure; the next one sits 9.1 kJ/mol of atoms above it.

## i
YInFeNi: optimized geometry, PBE.

Calculated values
The symmetry is F-43m, No. 216.

Cell lengths 4.6204, 4.6204, 4.6204 Å; angles 60.00, 60.00, 60.00 degrees
Last column: nearest neighbours and their distance in Å.
Element x y z (fractional)
Y 0.5000 0.5000 0.5000  4 Fe 2.83, 4 Ni 2.83
In 0.0000 0.0000 0.0000  4 Fe 2.83, 4 Ni 2.83
Ni 0.2500 0.2500 0.2500  4 Y 2.83, 4 In 2.83
Fe 0.7500 0.7500 0.7500  4 Y 2.83, 4 In 2.83

## ii
YInFeNi: optimized geometry, PBE.

Calculated values
The symmetry is F-43m, No. 216.

Cell lengths 4.6400, 4.6400, 4.6400 Å; angles 60.00, 60.00, 60.00 degrees
Last column: nearest neighbours and their distance in Å.
Element x y z (fractional)
Ni 0.5000 0.5000 0.5000  4 Y 2.84, 4 Fe 2.84
Fe 0.7500 0.7500 0.7500  4 In 2.84, 4 Ni 2.84
In 0.0000 0.0000 0.0000  4 Fe 2.84, 4 Y 2.84
Y 0.2500 0.2500 0.2500  4 Ni 2.84, 4 In 2.84

i is the most stable structure; the next one sits 19.3 kJ/mol of atoms above it.

## i
ZrInFeNi: optimized geometry, PBE.

Calculated values
The symmetry is F-43m, No. 216.

Cell lengths 4.5245, 4.5245, 4.5245 Å; angles 60.00, 60.00, 60.00 degrees
Last column: nearest neighbours and their distance in Å.
Element x y z (fractional)
Zr 0.2500 0.2500 0.2500  4 Ni 2.77, 4 In 2.77
In 0.0000 0.0000 0.0000  4 Fe 2.77, 4 Zr 2.77
Ni 0.5000 0.5000 0.5000  4 Zr 2.77, 4 Fe 2.77
Fe 0.7500 0.7500 0.7500  4 In 2.77, 4 Ni 2.77

## ii
ZrInFeNi: optimized geometry, PBE.

Calculated values
The symmetry is F-43m, No. 216.

Cell lengths 4.4858, 4.4858, 4.4858 Å; angles 60.00, 60.00, 60.00 degrees
Last column: nearest neighbours and their distance in Å.
Element x y z (fractional)
In 0.0000 0.0000 0.0000  4 Fe 2.75, 4 Ni 2.75
Zr 0.5000 0.5000 0.5000  4 Ni 2.75, 4 Fe 2.75
Ni 0.2500 0.2500 0.2500  4 Zr 2.75, 4 In 2.75
Fe 0.7500 0.7500 0.7500  4 In 2.75, 4 Zr 2.75

ii is the most stable structure; the next one sits 27.9 kJ/mol of atoms above it.